Run a
Here is a relaxed structure of ScPb4 from Alexandria via LeMat-Bulk. Energies are from PBE-GGA.

The value obtained for the density of states at the Fermi level is 3.5 states/eV per cell.

Lattice parameters (Å, degrees): 8.936 8.936 8.936 151.74 151.74 40.39
Fractional coordinates of all 5 atoms:
Pb1 0.410 0.410 0.000
Pb2 0.750 0.250 0.500
Pb3 0.250 0.750 0.500
Pb4 0.590 0.590 0.000
Sc1 0.000 0.000 0.000

Run b
Here is a relaxed structure of ScPb4 from Alexandria via LeMat-Bulk. Energies are from PBE-GGA.

The value obtained for the density of states at the Fermi level is 2.9 states/eV per cell.

Lattice parameters (Å, degrees): 5.611 5.611 5.611 90.00 90.00 90.00
Fractional coordinates of all 5 atoms:
Pb1 0.500 0.500 0.000
Pb2 0.000 0.000 0.000
Pb3 0.500 0.000 0.500
Pb4 0.000 0.500 0.500
Sc1 0.500 0.500 0.500

Most stable structure, least stable structure: run a, run b.

Run a
Here is a relaxed structure of Sc5Pb4 from Alexandria via LeMat-Bulk. Energies are from PBE-GGA.

The value obtained for the density of states at the Fermi level is 5.8 states/eV per cell.

Lattice parameters (Å, degrees): 3.546 8.850 8.850 87.70 78.44 78.44
Fractional coordinates of all 9 atoms:
Sc1 0.281 0.097 0.341
Sc2 0.378 0.341 0.903
Sc3 0.000 0.000 0.000
Sc4 0.622 0.659 0.097
Sc5 0.719 0.903 0.659
Pb1 0.930 0.816 0.323
Pb2 0.253 0.677 0.816
Pb3 0.070 0.184 0.677
Pb4 0.747 0.323 0.184

Run b
Here is a relaxed structure of Sc5Pb4 from Alexandria via LeMat-Bulk. Energies are from PBE-GGA.

The value obtained for the density of states at the Fermi level is 12.6 states/eV per cell.

Lattice parameters (Å, degrees): 7.381 7.381 7.381 95.89 95.89 142.65
Site moments in Bohr magnetons follow the coordinates.
Fractional coordinates of all 9 atoms:
Pb1 0.000 0.303 0.303  0.01
Pb2 0.697 0.000 0.697  0.01
Pb3 0.000 0.697 0.697  0.01
Pb4 0.303 0.000 0.303  0.01
Sc1 0.329 0.671 0.000  0.18
Sc2 0.329 0.329 0.658  0.18
Sc3 0.671 0.329 0.000  0.18
Sc4 0.671 0.671 0.342  0.18
Sc5 0.000 0.000 0.000  0.15

Run c
Here is a relaxed structure of Sc5Pb4 from Alexandria via LeMat-Bulk. Energies are from PBE-GGA.

The value obtained for the density of states at the Fermi level is 19.1 states/eV per cell.

Lattice parameters (Å, degrees): 8.979 8.979 6.295 90.00 90.00 120.00
Fractional coordinates of all 18 atoms:
Sc1 0.274 0.000 0.750
Sc2 0.667 0.333 0.000
Sc3 0.667 0.333 0.500
Sc4 0.726 0.726 0.750
Sc5 0.333 0.667 0.500
Sc6 0.726 0.000 0.250
Sc7 0.333 0.667 0.000
Sc8 0.000 0.726 0.250
Sc9 0.274 0.274 0.250
Sc10 0.000 0.274 0.750
Pb1 0.000 0.388 0.250
Pb2 0.612 0.612 0.250
Pb3 0.612 0.000 0.750
Pb4 0.000 0.000 0.000
Pb5 0.388 0.000 0.250
Pb6 0.388 0.388 0.750
Pb7 0.000 0.612 0.750
Pb8 0.000 0.000 0.500

Most stable structure, least stable structure: run c, run b.

Run a
Here is a relaxed structure of Sc2PbSe from Alexandria via LeMat-Bulk. Energies are from PBE-GGA.

The value obtained for the density of states at the Fermi level is 2.4 states/eV per cell.

Lattice parameters (Å, degrees): 3.761 3.761 7.853 76.20 76.20 60.07
Fractional coordinates of all 4 atoms:
Sc1 0.515 0.515 0.458
Sc2 0.985 0.985 0.042
Se1 0.250 0.250 0.250
Pb1 0.750 0.750 0.750

Run b
Here is a relaxed structure of Sc2PbSe from Alexandria via LeMat-Bulk. Energies are from PBE-GGA.

The value obtained for the density of states at the Fermi level is 3.0 states/eV per cell.

Lattice parameters (Å, degrees): 3.511 3.431 7.779 74.02 90.00 90.00
Fractional coordinates of all 4 atoms:
Sc1 0.000 0.031 0.031
Sc2 0.000 0.469 0.469
Se1 0.500 0.250 0.250
Pb1 0.500 0.750 0.750

Most stable structure, least stable structure: run a, run b.

Run a
Here is a relaxed structure of Sc2PbSe from Alexandria via LeMat-Bulk. Energies are from PBE-GGA.

The value obtained for the density of states at the Fermi level is 2.5 states/eV per cell.

Lattice parameters (Å, degrees): 3.691 3.691 8.129 76.88 76.88 60.00
Fractional coordinates of all 4 atoms:
Sc1 0.068 0.068 0.795
Sc2 0.265 0.265 0.205
Se1 0.667 0.667 0.998
Pb1 0.499 0.499 0.502

Run b
Here is a relaxed structure of Sc2PbSe from Alexandria via LeMat-Bulk. Energies are from PBE-GGA.

The value obtained for the density of states at the Fermi level is 3.1 states/eV per cell.

Lattice parameters (Å, degrees): 5.115 5.115 5.115 60.00 60.00 60.00
Fractional coordinates of all 4 atoms:
Pb1 0.500 0.500 0.500
Se1 0.750 0.750 0.750
Sc1 0.250 0.250 0.250
Sc2 0.000 0.000 0.000

Most stable structure, least stable structure: run a, run b.

Run a
Here is a relaxed structure of Sc2PbSe from Alexandria via LeMat-Bulk. Energies are from PBE-GGA.

The value obtained for the density of states at the Fermi level is 3.1 states/eV per cell.

Lattice parameters (Å, degrees): 5.455 5.455 5.455 138.91 113.23 81.48
Fractional coordinates of all 4 atoms:
Se1 0.750 0.250 0.500
Pb1 0.250 0.750 0.500
Sc1 0.968 0.968 0.000
Sc2 0.532 0.532 0.000

Run b
Here is a relaxed structure of Sc2PbSe from Alexandria via LeMat-Bulk. Energies are from PBE-GGA.

The value obtained for the density of states at the Fermi level is 2.4 states/eV per cell.

Lattice parameters (Å, degrees): 5.041 5.041 5.041 60.00 60.00 60.00
Fractional coordinates of all 4 atoms:
Pb1 0.500 0.500 0.500
Sc1 0.250 0.250 0.250
Sc2 0.750 0.750 0.750
Se1 0.000 0.000 0.000

Run c
Here is a relaxed structure of Sc2PbSe from Alexandria via LeMat-Bulk. Energies are from PBE-GGA.

The value obtained for the density of states at the Fermi level is 2.7 states/eV per cell.

Lattice parameters (Å, degrees): 7.823 7.823 7.823 153.36 153.56 37.88
Site moments in Bohr magnetons follow the coordinates.
Fractional coordinates of all 4 atoms:
Sc1 0.680 0.180 0.500  0.20
Sc2 0.972 0.972 0.000  0.19
Se1 0.543 0.543 0.000  -0.01
Pb1 0.304 0.804 0.500  -0.01

Run d
Here is a relaxed structure of Sc2PbSe from Alexandria via LeMat-Bulk. Energies are from PBE-GGA.

The value obtained for the density of states at the Fermi level is 2.1 states/eV per cell.

Lattice parameters (Å, degrees): 6.225 6.225 4.364 90.00 90.00 34.84
Fractional coordinates of all 4 atoms:
Sc1 0.005 0.005 0.875
Sc2 0.272 0.272 0.375
Pb1 0.732 0.732 0.875
Se1 0.491 0.491 0.375

Most stable structure, least stable structure: run c, run b.

Run a
Here is a relaxed structure of Sc2PbSe from Alexandria via LeMat-Bulk. Energies are from PBE-GGA.

The value obtained for the density of states at the Fermi level is 4.4 states/eV per cell.

Lattice parameters (Å, degrees): 3.416 3.416 7.775 90.00 90.00 100.91
Fractional coordinates of all 4 atoms:
Pb1 0.500 0.500 0.750
Sc1 0.000 0.000 0.030
Sc2 0.000 0.000 0.470
Se1 0.500 0.500 0.250

Run b
Here is a relaxed structure of Sc2PbSe from Alexandria via LeMat-Bulk. Energies are from PBE-GGA.

The value obtained for the density of states at the Fermi level is 2.5 states/eV per cell.

Lattice parameters (Å, degrees): 9.434 9.434 9.434 23.21 23.21 23.21
Fractional coordinates of all 4 atoms:
Sc1 0.089 0.089 0.089
Sc2 0.911 0.911 0.911
Pb1 0.500 0.500 0.500
Se1 0.000 0.000 0.000

Run c
Here is a relaxed structure of Sc2PbSe from Alexandria via LeMat-Bulk. Energies are from PBE-GGA.

The value obtained for the density of states at the Fermi level is 2.6 states/eV per cell.

Lattice parameters (Å, degrees): 5.231 5.231 3.493 79.95 79.95 93.22
Fractional coordinates of all 4 atoms:
Sc1 0.000 0.000 0.000
Sc2 0.500 0.500 0.000
Pb1 0.000 0.500 0.500
Se1 0.500 0.000 0.500

Run d
Here is a relaxed structure of Sc2PbSe from Alexandria via LeMat-Bulk. Energies are from PBE-GGA.

The value obtained for the density of states at the Fermi level is 2.6 states/eV per cell.

Lattice parameters (Å, degrees): 6.118 6.118 6.118 140.65 140.65 56.87
Fractional coordinates of all 4 atoms:
Sc1 0.000 0.000 0.000
Sc2 0.250 0.750 0.500
Pb1 0.750 0.250 0.500
Se1 0.500 0.500 0.000

Most stable structure, least stable structure: run a, run b.